1.
Here is a relaxed structure of AcTb4Ga4 from Alexandria. Energies are from PBE-GGA.

a b c (Å): 9.490 9.490 5.929
angles (deg): 90.00 90.00 90.00
Element x y z (fractional)
Ac 0.250 0.250 0.250
Ac 0.750 0.750 0.750
Tb 0.086 0.651 0.133
Tb 0.151 0.914 0.633
Tb 0.349 0.586 0.633
Tb 0.414 0.849 0.133
Tb 0.586 0.151 0.867
Tb 0.651 0.414 0.367
Tb 0.849 0.086 0.367
Tb 0.914 0.349 0.867
Ga 0.039 0.601 0.631
Ga 0.101 0.961 0.131
Ga 0.399 0.539 0.131
Ga 0.461 0.899 0.631
Ga 0.539 0.101 0.369
Ga 0.601 0.461 0.869
Ga 0.899 0.039 0.869
Ga 0.961 0.399 0.369

Results
Size of the total moment = 0.0 μB/cell
Energy of formation from the pure elements = -3.1 eV per formula unit
ρ = 7.10 g/cm3
DOS(E_F) = 15.1 states/eV/cell



2.
Here is a relaxed structure of Mn2NbCu2 from Alexandria. Energies are from PBE-GGA.

a b c (Å): 3.387 3.387 11.553
angles (deg): 90.00 90.00 90.00
Element x y z (fractional)
Mn 0.000 0.500 0.250
Mn 0.000 0.500 0.750
Mn 0.500 0.000 0.250
Mn 0.500 0.000 0.750
Nb 0.000 0.000 0.000
Nb 0.500 0.500 0.500
Cu 0.000 0.000 0.400
Cu 0.000 0.000 0.600
Cu 0.500 0.500 0.100
Cu 0.500 0.500 0.900

Results
ΔE to the lowest computed polymorph = 0.201 eV/atom
Size of the total moment = 0.0 μB/cell
Energy of formation from the pure elements = 2.1 eV per formula unit
ρ = 8.26 g/cm3
DOS(E_F) = 9.7 states/eV/cell



3.
Here is a relaxed structure of Pr6Ni6Hg from Alexandria. Energies are from PBE-GGA.

a b c (Å): 7.635 7.635 7.635
angles (deg): 135.86 98.74 97.49
Element x y z (fractional)
Pr 0.171 0.500 0.671
Pr 0.198 0.198 0.000
Pr 0.334 0.000 0.334
Pr 0.666 0.000 0.666
Pr 0.802 0.802 0.000
Pr 0.829 0.500 0.329
Ni 0.000 0.000 0.500
Ni 0.000 0.500 0.000
Ni 0.243 0.743 0.500
Ni 0.500 0.000 0.000
Ni 0.500 0.500 0.500
Ni 0.757 0.257 0.500
Hg 0.500 0.500 0.000

Results
Size of the total moment = 0.0 μB/cell
Energy of formation from the pure elements = -1.4 eV per formula unit
ρ = 8.08 g/cm3
DOS(E_F) = 16.7 states/eV/cell



4.
Here is a relaxed structure of PuInSn from Alexandria. Energies are from PBE-GGA.

a b c (Å): 5.158 5.158 3.359
angles (deg): 90.00 90.00 120.00
Element x y z (fractional)
Pu 0.000 0.000 0.000
In 0.333 0.667 0.500
Sn 0.667 0.333 0.500

Results
Size of the total moment = 5.7 μB/cell
Energy of formation from the pure elements = -0.7 eV per formula unit
ρ = 10.25 g/cm3
DOS(E_F) = 8.6 states/eV/cell



5.
Here is a relaxed structure of K2PmI6 from Alexandria. Energies are from PBE-GGA.

a b c (Å): 4.867 9.286 9.286
angles (deg): 120.23 90.00 90.00
Element x y z (fractional)
K 0.000 0.167 0.833
K 0.000 0.833 0.167
Pm 0.500 0.502 0.502
I 0.000 0.261 0.501
I 0.000 0.501 0.261
I 0.000 0.742 0.742
I 0.500 0.136 0.136
I 0.500 0.499 0.867
I 0.500 0.867 0.499

Results
ΔE to the lowest computed polymorph = 0.034 eV/atom
Size of the total moment = 0.3 μB/cell
ρ = 4.51 g/cm3
Raw formation energy = -1.18 eV/atom
DOS(E_F) = 14.1 states/eV/cell



6.
Here is a relaxed structure of BaLaBr2 from Alexandria. Energies are from PBE-GGA.

a b c (Å): 4.221 4.352 14.846
angles (deg): 90.00 90.00 90.00
Element x y z (fractional)
Ba 0.000 0.000 0.000
Ba 0.500 0.500 0.500
La 0.000 0.500 0.251
La 0.500 0.000 0.751
Br 0.000 0.000 0.406
Br 0.000 0.500 0.680
Br 0.500 0.000 0.180
Br 0.500 0.500 0.906

Results
ΔE to the lowest computed polymorph = 0.097 eV/atom
Size of the total moment = 2.4 μB/cell
ρ = 5.31 g/cm3
Raw formation energy = -1.27 eV/atom
DOS(E_F) = 5.5 states/eV/cell



7.
Here is a relaxed structure of TaTc2As from Alexandria. Energies are from PBE-GGA.

a b c (Å): 8.688 3.090 4.825
angles (deg): 90.00 102.94 90.00
Element x y z (fractional)
Ta 0.000 0.000 0.000
Ta 0.500 0.500 0.000
Tc 0.248 0.500 0.255
Tc 0.252 0.000 0.745
Tc 0.748 0.000 0.255
Tc 0.752 0.500 0.745
As 0.000 0.500 0.500
As 0.500 0.000 0.500

Results
Size of the total moment = 0.0 μB/cell
Energy of formation from the pure elements = 0.0 eV per formula unit
ρ = 11.89 g/cm3
DOS(E_F) = 6.7 states/eV/cell



8.
Here is a relaxed structure of Dy6In6Sn from Alexandria. Energies are from PBE-GGA.

a b c (Å): 6.373 6.373 10.436
angles (deg): 90.00 90.00 120.00
Element x y z (fractional)
Dy 0.000 0.000 0.194
Dy 0.000 0.000 0.806
Dy 0.333 0.667 0.000
Dy 0.333 0.667 0.500
Dy 0.667 0.333 0.000
Dy 0.667 0.333 0.500
In 0.000 0.500 0.248
In 0.000 0.500 0.752
In 0.500 0.000 0.248
In 0.500 0.000 0.752
In 0.500 0.500 0.248
In 0.500 0.500 0.752
Sn 0.000 0.000 0.500

Results
Size of the total moment = 0.0 μB/cell
Energy of formation from the pure elements = -4.1 eV per formula unit
ρ = 8.06 g/cm3
DOS(E_F) = 12.7 states/eV/cell



9.
Here is a relaxed structure of LiNiAsPt from Alexandria. Energies are from PBE-GGA.

a b c (Å): 5.984 5.984 5.984
angles (deg): 90.00 90.00 90.00
Element x y z (fractional)
Li 0.000 0.000 0.000
Li 0.000 0.500 0.500
Li 0.500 0.000 0.500
Li 0.500 0.500 0.000
Ni 0.250 0.250 0.250
Ni 0.250 0.750 0.750
Ni 0.750 0.250 0.750
Ni 0.750 0.750 0.250
As 0.000 0.000 0.500
As 0.000 0.500 0.000
As 0.500 0.000 0.000
As 0.500 0.500 0.500
Pt 0.250 0.250 0.750
Pt 0.250 0.750 0.250
Pt 0.750 0.250 0.250
Pt 0.750 0.750 0.750

Results
Size of the total moment = 0.0 μB/cell
Energy of formation from the pure elements = -1.4 eV per formula unit
ρ = 10.40 g/cm3
DOS(E_F) = 15.5 states/eV/cell



10.
Here is a relaxed structure of Y2TlPd from Alexandria. Energies are from PBE-GGA.

a b c (Å): 3.871 3.871 25.231
angles (deg): 90.00 90.00 120.00
Element x y z (fractional)
Y 0.000 0.000 0.237
Y 0.000 0.000 0.763
Y 0.333 0.667 0.429
Y 0.333 0.667 0.904
Y 0.667 0.333 0.096
Y 0.667 0.333 0.571
Tl 0.000 0.000 0.000
Tl 0.333 0.667 0.667
Tl 0.667 0.333 0.333
Pd 0.000 0.000 0.500
Pd 0.333 0.667 0.167
Pd 0.667 0.333 0.833

Results
Size of the total moment = 0.0 μB/cell
Energy of formation from the pure elements = -2.0 eV per formula unit
ρ = 7.43 g/cm3
DOS(E_F) = 11.5 states/eV/cell



11.
Here is a relaxed structure of NiIrPb3 from Alexandria. Energies are from PBE-GGA.

a b c (Å): 4.994 4.994 4.994
angles (deg): 90.00 90.00 90.00
Element x y z (fractional)
Ni 0.000 0.000 0.000
Ir 0.500 0.500 0.500
Pb 0.000 0.000 0.500
Pb 0.000 0.500 0.000
Pb 0.500 0.000 0.000

Results
ΔE to the lowest computed polymorph = 0.000 eV/atom
Size of the total moment = 0.0 μB/cell
Energy of formation from the pure elements = 3.7 eV per formula unit
ρ = 11.63 g/cm3
DOS(E_F) = 3.9 states/eV/cell



12.
Here is a relaxed structure of BaAu from Alexandria. Energies are from PBE-GGA.

a b c (Å): 7.424 7.424 7.424
angles (deg): 90.00 90.00 90.00
Element x y z (fractional)
Ba 0.000 0.000 0.000
Ba 0.000 0.500 0.500
Ba 0.500 0.000 0.500
Ba 0.500 0.500 0.000
Au 0.250 0.250 0.750
Au 0.250 0.750 0.250
Au 0.750 0.250 0.250
Au 0.750 0.750 0.750

Results
Size of the total moment = 2.7 μB/cell
Energy of formation from the pure elements = -0.7 eV per formula unit
ρ = 5.43 g/cm3
DOS(E_F) = 8.7 states/eV/cell



13.
Here is a relaxed structure of NaBi3Ru from Alexandria. Energies are from PBE-GGA.

a b c (Å): 5.366 5.366 5.366
angles (deg): 90.00 90.00 90.00
Element x y z (fractional)
Na 0.000 0.000 0.000
Bi 0.000 0.500 0.500
Bi 0.500 0.000 0.500
Bi 0.500 0.500 0.000
Ru 0.500 0.500 0.500

Results
ΔE to the lowest computed polymorph = 0.000 eV/atom
Size of the total moment = 0.0 μB/cell
Energy of formation from the pure elements = 1.4 eV per formula unit
ρ = 8.07 g/cm3
DOS(E_F) = 0.7 states/eV/cell



14.
Here is a relaxed structure of ErPaTc from Alexandria. Energies are from PBE-GGA.

a b c (Å): 3.460 3.460 11.255
angles (deg): 90.00 90.00 90.00
Element x y z (fractional)
Er 0.000 0.000 0.000
Er 0.500 0.500 0.500
Pa 0.000 0.000 0.298
Pa 0.500 0.500 0.798
Tc 0.000 0.000 0.681
Tc 0.500 0.500 0.181

Results
ΔE to the lowest computed polymorph = 0.000 eV/atom
Size of the total moment = 0.0 μB/cell
Energy of formation from the pure elements = -0.5 eV per formula unit
ρ = 12.23 g/cm3
DOS(E_F) = 6.5 states/eV/cell



15.
Here is a relaxed structure of GdZrAgRh from Alexandria. Energies are from PBE-GGA.

a b c (Å): 6.929 6.929 6.929
angles (deg): 90.00 90.00 90.00
Element x y z (fractional)
Gd 0.000 0.000 0.000
Gd 0.000 0.500 0.500
Gd 0.500 0.000 0.500
Gd 0.500 0.500 0.000
Zr 0.000 0.000 0.500
Zr 0.000 0.500 0.000
Zr 0.500 0.000 0.000
Zr 0.500 0.500 0.500
Ag 0.250 0.250 0.250
Ag 0.250 0.750 0.750
Ag 0.750 0.250 0.750
Ag 0.750 0.750 0.250
Rh 0.250 0.250 0.750
Rh 0.250 0.750 0.250
Rh 0.750 0.250 0.250
Rh 0.750 0.750 0.750

Results
Size of the total moment = 29.1 μB/cell
Energy of formation from the pure elements = -1.5 eV per formula unit
ρ = 9.17 g/cm3
DOS(E_F) = 12.5 states/eV/cell



16.
Here is a relaxed structure of Li2Si5Ni3 from Alexandria. Energies are from PBE-GGA.

a b c (Å): 10.935 10.935 6.374
angles (deg): 90.00 90.00 160.03
Element x y z (fractional)
Li 0.023 0.977 0.500
Li 0.322 0.678 0.583
Li 0.678 0.322 0.083
Li 0.977 0.023 0.000
Si 0.097 0.903 0.890
Si 0.207 0.793 0.406
Si 0.207 0.793 0.809
Si 0.381 0.619 0.990
Si 0.445 0.555 0.641
Si 0.555 0.445 0.141
Si 0.619 0.381 0.490
Si 0.793 0.207 0.309
Si 0.793 0.207 0.906
Si 0.903 0.097 0.390
Ni 0.112 0.888 0.260
Ni 0.271 0.729 0.111
Ni 0.451 0.549 0.271
Ni 0.549 0.451 0.771
Ni 0.729 0.271 0.611
Ni 0.888 0.112 0.760

Results
Size of the total moment = 0.0 μB/cell
ρ = 4.22 g/cm3
Raw formation energy = -0.36 eV/atom
DOS(E_F) = 7.8 states/eV/cell



17.
Here is a relaxed structure of NaScInAu from Alexandria. Energies are from PBE-GGA.

a b c (Å): 6.994 6.994 6.994
angles (deg): 90.00 90.00 90.00
Element x y z (fractional)
Na 0.000 0.000 0.000
Na 0.000 0.500 0.500
Na 0.500 0.000 0.500
Na 0.500 0.500 0.000
Sc 0.000 0.000 0.500
Sc 0.000 0.500 0.000
Sc 0.500 0.000 0.000
Sc 0.500 0.500 0.500
In 0.250 0.250 0.750
In 0.250 0.750 0.250
In 0.750 0.250 0.250
In 0.750 0.750 0.750
Au 0.250 0.250 0.250
Au 0.250 0.750 0.750
Au 0.750 0.250 0.750
Au 0.750 0.750 0.250

Results
Size of the total moment = 0.0 μB/cell
Energy of formation from the pure elements = -1.3 eV per formula unit
ρ = 7.37 g/cm3
DOS(E_F) = 9.2 states/eV/cell



18.
Here is a relaxed structure of Sc6Cd5Ga from Alexandria. Energies are from PBE-GGA.

a b c (Å): 7.851 7.851 7.012
angles (deg): 90.00 90.00 143.20
Element x y z (fractional)
Sc 0.000 0.000 0.239
Sc 0.000 0.000 0.761
Sc 0.338 0.662 0.246
Sc 0.338 0.662 0.754
Sc 0.662 0.338 0.246
Sc 0.662 0.338 0.754
Cd 0.168 0.832 0.500
Cd 0.173 0.827 0.000
Cd 0.500 0.500 0.500
Cd 0.827 0.173 0.000
Cd 0.832 0.168 0.500
Ga 0.500 0.500 0.000

Results
Size of the total moment = 0.0 μB/cell
Energy of formation from the pure elements = -4.1 eV per formula unit
ρ = 5.78 g/cm3
DOS(E_F) = 11.4 states/eV/cell



19.
Here is a relaxed structure of Y4MnOs from Alexandria. Energies are from PBE-GGA.

a b c (Å): 5.970 5.970 5.970
angles (deg): 60.00 60.00 60.00
Element x y z (fractional)
Y 0.376 0.376 0.376
Y 0.376 0.376 0.872
Y 0.376 0.872 0.376
Y 0.872 0.376 0.376
Mn 0.000 0.000 0.000
Os 0.750 0.750 0.750

Results
Size of the total moment = 2.8 μB/cell
Energy of formation from the pure elements = 6.0 eV per formula unit
ρ = 6.63 g/cm3
DOS(E_F) = 5.8 states/eV/cell



20.
Here is a relaxed structure of La2PmSmDy5 from Alexandria. Energies are from PBE-GGA.

a b c (Å): 10.038 10.038 10.038
angles (deg): 128.65 128.65 75.58
Element x y z (fractional)
La 0.118 0.618 0.736
La 0.382 0.118 0.500
La 0.618 0.882 0.500
La 0.882 0.382 0.264
Pm 0.250 0.250 0.000
Pm 0.750 0.750 0.000
Sm 0.250 0.750 0.500
Sm 0.750 0.250 0.500
Dy 0.000 0.000 0.000
Dy 0.073 0.145 0.500
Dy 0.145 0.645 0.072
Dy 0.355 0.427 0.500
Dy 0.427 0.927 0.072
Dy 0.500 0.500 0.000
Dy 0.573 0.073 0.928
Dy 0.645 0.573 0.500
Dy 0.855 0.355 0.928
Dy 0.927 0.855 0.500

Results
Size of the total moment = 0.0 μB/cell
Energy of formation from the pure elements = 2.2 eV per formula unit
ρ = 7.67 g/cm3
DOS(E_F) = 24.0 states/eV/cell



21.
Here is a relaxed structure of La2ErPuBi4 from Alexandria. Energies are from PBE-GGA.

a b c (Å): 7.952 4.613 7.977
angles (deg): 90.00 109.50 90.00
Element x y z (fractional)
La 0.000 0.000 0.000
La 0.000 0.500 0.500
Er 0.500 0.000 0.500
Pu 0.500 0.500 0.000
Bi 0.262 0.000 0.752
Bi 0.264 0.500 0.257
Bi 0.736 0.500 0.743
Bi 0.738 0.000 0.248

Results
Size of the total moment = 5.1 μB/cell
Energy of formation from the pure elements = -6.4 eV per formula unit
ρ = 9.18 g/cm3
DOS(E_F) = 17.7 states/eV/cell



22.
Here is a relaxed structure of Pm3Tm4Te8 from Alexandria. Energies are from PBE-GGA.

a b c (Å): 8.733 8.733 8.725
angles (deg): 119.91 119.91 90.05
Element x y z (fractional)
Pm 0.000 0.000 0.000
Pm 0.000 0.500 0.000
Pm 0.500 0.000 0.000
Tm 0.000 0.500 0.500
Tm 0.500 0.000 0.500
Tm 0.500 0.500 0.000
Tm 0.500 0.500 0.500
Te 0.248 0.752 0.500
Te 0.252 0.252 0.509
Te 0.253 0.253 0.997
Te 0.254 0.746 0.000
Te 0.746 0.254 0.000
Te 0.747 0.747 0.003
Te 0.748 0.748 0.491
Te 0.752 0.248 0.500

Results
Size of the total moment = 0.0 μB/cell
ρ = 7.51 g/cm3
Raw formation energy = -1.34 eV/atom
DOS(E_F) = 6.7 states/eV/cell



23.
Here is a relaxed structure of CaLa9Pm2 from Alexandria. Energies are from PBE-GGA.

a b c (Å): 5.275 5.275 15.807
angles (deg): 90.00 90.00 90.00
Element x y z (fractional)
Ca 0.000 0.000 0.000
La 0.000 0.500 0.172
La 0.000 0.500 0.500
La 0.000 0.500 0.828
La 0.500 0.000 0.172
La 0.500 0.000 0.500
La 0.500 0.000 0.828
La 0.500 0.500 0.000
La 0.500 0.500 0.334
La 0.500 0.500 0.666
Pm 0.000 0.000 0.333
Pm 0.000 0.000 0.667

Results
Size of the total moment = 0.0 μB/cell
Energy of formation from the pure elements = 0.3 eV per formula unit
ρ = 5.96 g/cm3
DOS(E_F) = 19.6 states/eV/cell



24.
Here is a relaxed structure of Ba3CdIn from Alexandria. Energies are from PBE-GGA.

a b c (Å): 12.167 12.167 6.099
angles (deg): 90.00 90.00 150.97
Element x y z (fractional)
Ba 0.075 0.925 0.750
Ba 0.249 0.751 0.750
Ba 0.423 0.577 0.750
Ba 0.577 0.423 0.250
Ba 0.751 0.249 0.250
Ba 0.925 0.075 0.250
Cd 0.340 0.660 0.250
Cd 0.660 0.340 0.750
In 0.159 0.841 0.250
In 0.841 0.159 0.750

Results
ΔE to the lowest computed polymorph = 0.000 eV/atom
Size of the total moment = 0.0 μB/cell
Energy of formation from the pure elements = -1.6 eV per formula unit
ρ = 4.84 g/cm3
DOS(E_F) = 6.6 states/eV/cell